1.
This record from the Alexandria database describes a geometry-optimized LaCr2Fe structure. The functional is GGA-PBEsol.

formation energy	400	meV per atom
size of the total moment	0.0	μB/f.u.
energy above the lowest structure with this stoichiometry	0.0	kJ per mole of atoms

The structure in POSCAR format:
```
LaCr2Fe
1.0
-2.2555 2.8862 -1.3817
-3.7993 -0.6444 -0.6902
-3.1761 2.2305 4.2975
Cr La Fe
2 1 1
Direct
0.2424 0.2424 0.2728
0.9484 0.9484 0.1548
0.7510 0.7510 0.7470
0.5633 0.5633 0.3100
```

***

2.
This record from the Alexandria database describes a geometry-optimized YScTl2 structure. The functional is GGA-PBEsol.

formation energy	-383	meV per atom
size of the total moment	0.1	μB/f.u.

The structure in POSCAR format:
```
YScTl2
1.0
3.4055 0.0000 0.0000
0.0000 5.3742 0.0416
0.0000 -1.1624 5.2472
Sc Tl Y
1 2 1
Direct
0.5000 0.5000 0.5000
0.0000 0.5000 0.0000
0.0000 0.0000 0.5000
0.5000 0.0000 0.0000
```